No. 1
## AlNi2Sb (PBE-GGA)

Data for crystalline AlNi2Sb at its relaxed geometry.

Results
**ΔE_f (raw)**: 0.03 eV/atom
**Distance to the lowest polymorph of the same formula**: 0.277 eV per atom

Lattice parameters (Å, degrees): 4.036 4.036 16.315 90.00 90.00 90.00
Positions (direct):
Al  0.000  0.000  0.000
Al  0.000  0.500  0.250
Al  0.500  0.000  0.750
Al  0.500  0.500  0.500
Ni  0.233  0.250  0.125
Ni  0.250  0.733  0.375
Ni  0.250  0.767  0.875
Ni  0.267  0.250  0.625
Ni  0.733  0.750  0.625
Ni  0.750  0.233  0.875
Ni  0.750  0.267  0.375
Ni  0.767  0.750  0.125
Sb  0.000  0.000  0.500
Sb  0.000  0.500  0.750
Sb  0.500  0.000  0.250
Sb  0.500  0.500  0.000

No. 2
## HoTm8Sn6 (PBE-GGA)

Data for crystalline HoTm8Sn6 at its relaxed geometry.

Results
**Total energy**: -71.9 eV for the cell shown

Lattice parameters (Å, degrees): 8.242 8.242 8.242 65.42 65.42 65.42
Positions (direct):
Ho  0.000  0.000  0.000
Tm  0.106  0.440  0.774
Tm  0.226  0.894  0.560
Tm  0.333  0.333  0.333
Tm  0.440  0.774  0.106
Tm  0.560  0.226  0.894
Tm  0.667  0.667  0.667
Tm  0.774  0.106  0.440
Tm  0.894  0.560  0.226
Sn  0.067  0.733  0.402
Sn  0.267  0.598  0.933
Sn  0.402  0.067  0.733
Sn  0.598  0.933  0.267
Sn  0.733  0.402  0.067
Sn  0.933  0.267  0.598

No. 3
## PuNpI5 (PBE-GGA)

Data for crystalline PuNpI5 at its relaxed geometry.

Results
**ΔE_f (raw)**: -0.96 eV/atom

Lattice parameters (Å, degrees): 9.248 4.310 14.998 90.00 94.86 90.00
Positions (direct):
Pu  0.095  0.250  0.142
Pu  0.905  0.750  0.858
Np  0.426  0.750  0.347
Np  0.574  0.250  0.653
I  0.076  0.750  0.304
I  0.147  0.250  0.930
I  0.317  0.250  0.482
I  0.352  0.750  0.131
I  0.358  0.750  0.712
I  0.642  0.250  0.288
I  0.648  0.250  0.869
I  0.683  0.750  0.518
I  0.853  0.750  0.070
I  0.924  0.250  0.696

No. 4
## Nd4ThAg5 (PBE-GGA)

Data for crystalline Nd4ThAg5 at its relaxed geometry.

Results
**Total energy**: -42.8 eV for the cell shown

Lattice parameters (Å, degrees): 3.715 3.715 19.138 90.00 90.00 90.00
Positions (direct):
Nd  0.000  0.000  0.100
Nd  0.000  0.000  0.299
Nd  0.000  0.000  0.701
Nd  0.000  0.000  0.900
Th  0.000  0.000  0.500
Ag  0.500  0.500  0.000
Ag  0.500  0.500  0.200
Ag  0.500  0.500  0.398
Ag  0.500  0.500  0.602
Ag  0.500  0.500  0.800

No. 5
## CsTaAsPb2 (PBE-GGA)

Data for crystalline CsTaAsPb2 at its relaxed geometry.

Results
**Total energy**: -24.3 eV for the cell shown

Lattice parameters (Å, degrees): 5.656 5.656 5.090 90.00 90.00 90.00
Positions (direct):
Cs  0.000  0.000  0.000
Ta  0.500  0.500  0.500
As  0.500  0.500  0.000
Pb  0.000  0.500  0.500
Pb  0.500  0.000  0.500

No. 6
## MgMn3Tl (PBE-GGA)

Data for crystalline MgMn3Tl at its relaxed geometry.

Results
**Distance to the lowest polymorph of the same formula**: 0.000 eV per atom

Lattice parameters (Å, degrees): 5.099 5.099 5.099 90.00 90.00 90.00
Positions (direct):
Mg  0.000  0.000  0.000
Mn  0.000  0.500  0.500
Mn  0.500  0.000  0.500
Mn  0.500  0.500  0.000
Tl  0.500  0.500  0.500